Entry from Alexandria via LeMat-Bulk: an optimized crystal structure of Li2CaW (PBE).

Properties
space-group type = Cmmm (65)
ρ = 5.21 g/cm3
formation enthalpy at 0 K = 0.7706 eV per atom
ΔE to the lowest computed polymorph = 0.214 eV per atom

Unit cell a=5.5349 b=5.5349 c=2.6925 alpha=90.00 beta=90.00 gamma=113.23
With the nearest neighbours (Å) after each atom.
Element x y z (fractional)
Ca 0.0000 0.5000 0.5000  2 Ca 2.69
Li 0.0000 0.0000 0.0000  2 Li 2.69
Li 0.5000 0.5000 0.0000  2 Li 2.69
W 0.5000 0.0000 0.5000  2 W 2.69